1.
## ErTm12Ni4 (PBE)

Data for an optimized crystal structure of ErTm12Ni4.

```
17
Lattice="-0.576 -4.837 7.049 -2.023 -4.708 -6.868 8.012 2.931 -0.806" Properties=species:S:1:pos:R:3 pbc="T T T"
Er 0.000 0.000 0.000
Tm -0.044 -5.049 3.541
Tm 0.263 -3.291 -1.318
Tm 4.654 -3.023 4.332
Tm 6.129 0.277 0.626
Tm 0.758 -3.591 -4.956
Tm 5.148 -3.323 0.694
Tm 1.850 -2.304 1.977
Tm 3.562 -4.310 -2.601
Tm -0.717 -6.891 -1.250
Tm 2.215 -5.719 0.647
Tm 3.197 -0.895 -1.271
Tm 5.456 -1.565 -4.165
Ni -1.012 -2.354 -3.434
Ni -0.288 -2.419 3.525
Ni 2.706 -3.307 -0.312
Ni 4.006 1.465 -0.403
```

## Properties
**DFT total energy**: -81.96 eV per cell
**Total magnetization**: 0.0 μB per formula unit
**ΔE_f**: -36 meV/atom


2.
## Ba3Ag2Au7 (PBE)

Data for an optimized crystal structure of Ba3Ag2Au7.

```
12
Lattice="-5.253 0.992 2.661 -3.742 -4.544 1.007 1.018 -2.616 9.686" Properties=species:S:1:pos:R:3 pbc="T T T"
Ba 0.000 0.000 0.000
Ba -7.283 -4.162 7.277
Ba -0.695 -2.005 6.077
Ag -4.992 -4.979 12.106
Ag -2.987 -1.188 1.248
Au -3.989 -3.083 6.677
Au -6.143 -1.630 5.228
Au -5.389 -4.394 4.402
Au -3.521 -2.126 3.899
Au -1.835 -4.536 8.126
Au -4.458 -4.041 9.455
Au -2.589 -1.773 8.952
```

## Properties
**DFT total energy**: -39.71 eV per cell
**Total magnetization**: 0.0 μB per formula unit
**ΔE_f**: -442 meV/atom


3.
## K2WBr6 (PBE)

Data for an optimized crystal structure of K2WBr6.

```
9
Lattice="-3.841 3.536 -5.545 -2.628 -3.886 -5.827 -7.364 -1.080 -0.757" Properties=species:S:1:pos:R:3 pbc="T T T"
K -10.397 -1.062 -9.124
K -3.435 -0.368 -3.005
W 0.000 0.000 0.000
Br -7.316 -1.189 -3.312
Br -8.748 -2.735 -6.657
Br -4.861 -2.644 -5.940
Br -6.516 -0.240 -8.817
Br -5.084 1.305 -5.471
Br -8.971 1.214 -6.188
```

## Properties
**DFT total energy**: -34.42 eV per cell
**Energy relative to the elements, uncorrected**: -23.66 kcal/mol of atoms
**Total magnetization**: 2.0 μB per formula unit


total magnetization of number 1 (ErTm12Ni4)? 0.0 μB per formula unit


total magnetization of number 2 (Ba3Ag2Au7)? 0.0 μB per formula unit


Copy entry 2 word for word.
## Ba3Ag2Au7 (PBE)

Data for an optimized crystal structure of Ba3Ag2Au7.

```
12
Lattice="-5.253 0.992 2.661 -3.742 -4.544 1.007 1.018 -2.616 9.686" Properties=species:S:1:pos:R:3 pbc="T T T"
Ba 0.000 0.000 0.000
Ba -7.283 -4.162 7.277
Ba -0.695 -2.005 6.077
Ag -4.992 -4.979 12.106
Ag -2.987 -1.188 1.248
Au -3.989 -3.083 6.677
Au -6.143 -1.630 5.228
Au -5.389 -4.394 4.402
Au -3.521 -2.126 3.899
Au -1.835 -4.536 8.126
Au -4.458 -4.041 9.455
Au -2.589 -1.773 8.952
```

## Properties
**DFT total energy**: -39.71 eV per cell
**Total magnetization**: 0.0 μB per formula unit
**ΔE_f**: -442 meV/atom


Which value of DFT total energy does entry 1 give? -81.96 eV per cell